A plane-wave DFT calculation with PBE-GGA was carried out for crystalline ErScIn at its relaxed geometry.

## Properties
Calculated volume: 76.7 Å³/f.u.
Mass density: 7.1 Mg/m³
Electronic total energy: -4.846 eV/atom
Calculated formation energy: -29.1 kJ/mol of atoms

a b c (Å): 3.4021 3.4021 13.2476
angles (deg): 90.00 90.00 90.00
Closest atoms and distances in Å follow each position.
Space group I4mm (No. 107)
Unique sites:
1 Er 0.0000 0.0000 0.0000 x2  4 In 3.29, 4 Sc 3.39, 4 Er 3.40
2 Sc 0.0000 0.0000 0.6804 x2  4 In 3.13, 4 Er 3.39, 4 Sc 3.40
3 In 0.0000 0.0000 0.3311 x2  4 Sc 3.13, 4 Er 3.29, 4 In 3.40

A plane-wave DFT calculation with PBE-GGA was carried out for crystalline CeFe9Si4 at its relaxed geometry.

## Properties
Uncorrected formation energy: -39.2 kJ per mole of atoms
Calculated volume: 174.6 Å³/f.u.
Mass density: 7.2 Mg/m³
Electronic total energy: -7.820 eV/atom

a b c (Å): 7.7936 7.7936 11.4982
angles (deg): 90.00 90.00 90.00
Closest atoms and distances in Å follow each position.
Space group I4/mcm (No. 140)
Unique sites:
1 Ce 0.0000 0.0000 0.2500 x4  16 Fe 3.18-3.31, 8 Si 3.25
2 Fe 0.0000 0.5000 0.0000 x4  4 Si 2.34, 8 Fe 2.40-2.49
3 Fe 0.0674 0.1998 0.0000 x16  6 Fe 2.32-2.57, 4 Si 2.48-2.53
4 Fe 0.1256 0.3744 0.1798 x16  4 Si 2.34-2.43, 5 Fe 2.49-2.54
5 Si 0.1708 0.3292 0.3793 x16  9 Fe 2.34-2.53

A plane-wave DFT calculation with PBE-GGA was carried out for crystalline Cd3CuB at its relaxed geometry.

## Properties
Calculated volume: 120.3 Å³/f.u.
Mass density: 5.7 Mg/m³
Electronic total energy: -1.610 eV/atom
Calculated formation energy: 105.5 kJ/mol of atoms

a b c (Å): 4.9371 4.9371 4.9371
angles (deg): 90.00 90.00 90.00
Closest atoms and distances in Å follow each position.
Space group Pm-3m (No. 221)
Unique sites:
1 Cd 0.0000 0.0000 0.5000 x3  2 Cu 2.47
2 Cu 0.0000 0.0000 0.0000 x1  6 Cd 2.47
3 B 0.5000 0.5000 0.5000 x1  12 Cd 3.49

A plane-wave DFT calculation with PBE-GGA was carried out for crystalline PmYP at its relaxed geometry.

## Properties
Calculated volume: 80.3 Å³/f.u.
Mass density: 5.5 Mg/m³
Electronic total energy: -6.260 eV/atom
Calculated formation energy: -69.3 kJ/mol of atoms

a b c (Å): 17.1213 6.7947 8.4453
angles (deg): 90.00 101.41 90.00
Closest atoms and distances in Å follow each position.
Space group C2/c (No. 15)
Unique sites:
1 Pm 0.0725 0.1585 0.4261 x8  2 P 2.76-2.92, 1 Pm 3.04
2 Pm 0.2500 0.2500 0.5000 x4  2 Pm 3.04, 4 P 3.10-3.11
3 Y 0.0000 0.2703 0.7500 x4  2 P 2.63
4 Y 0.1578 0.2873 0.0898 x8  4 P 2.92-3.10
5 P 0.0000 0.5000 0.0000 x4  2 Y 2.63, 2 Pm 2.76
6 P 0.1766 0.1014 0.7852 x8  4 Y 2.92-3.19, 4 Pm 2.92-3.22

A plane-wave DFT calculation with PBE-GGA was carried out for crystalline Ac8Sb4As3P at its relaxed geometry.

## Properties
Uncorrected formation energy: -128.4 kJ per mole of atoms
Calculated volume: 573.7 Å³/f.u.
Mass density: 7.4 Mg/m³
Electronic total energy: -5.625 eV/atom

a b c (Å): 9.3052 9.3052 22.9519
angles (deg): 90.00 90.00 120.00
Closest atoms and distances in Å follow each position.
Space group R-3m (No. 166, hexagonal axes)
Unique sites:
1 Ac 0.0000 0.0000 0.2453 x6  3 As 3.24, 3 Sb 3.36
2 Ac 0.0028 0.5014 0.2447 x18  1 P 3.21, 2 As 3.24, 3 Sb 3.36-3.39
3 Sb 0.0000 0.0000 0.0000 x3  6 Ac 3.39
4 Sb 0.0000 0.5000 0.0000 x9  6 Ac 3.36
5 As 0.0000 0.5000 0.5000 x9  6 Ac 3.24
6 P 0.0000 0.0000 0.5000 x3  6 Ac 3.21

A plane-wave DFT calculation with PBE-GGA was carried out for crystalline MoAsOs2 at its relaxed geometry.

## Properties
Calculated volume: 61.7 Å³/f.u.
Mass density: 14.8 Mg/m³
Electronic total energy: -8.853 eV/atom
Calculated formation energy: 61.0 kJ/mol of atoms

a b c (Å): 2.8901 4.8131 8.8748
angles (deg): 90.00 90.00 90.00
Closest atoms and distances in Å follow each position.
Space group Cmm2 (No. 35)
Unique sites:
1 Mo 0.0000 0.0000 0.0000 x2  2 Os 2.63, 2 As 2.71, 6 Mo 2.81-2.89
2 As 0.0000 0.5000 0.2579 x2  2 Os 2.55, 2 Mo 2.71, 4 As 2.81
3 Os 0.0000 0.0000 0.4940 x2  2 As 2.55, 6 Os 2.71-2.81
4 Os 0.0000 0.5000 0.7521 x2  2 Mo 2.63, 8 Os 2.71-2.89